Record 1
This record from Alexandria describes a geometry-optimized SrIrBr structure. The functional is PBE-GGA.

Output
Energy above the most stable polymorph in this dataset in meV per atom: 1208
Energy relative to the elements, uncorrected in eV per formula unit: 0.38

POSCAR file:
```
SrIrBr
1.0
4.878 0.000 0.000
0.000 4.878 0.000
0.000 0.000 6.395
Sr Ir Br
2 2 2
Cartesian
1.220 1.220 0.992
3.659 3.659 5.403
1.220 1.220 4.338
3.659 3.659 2.058
1.220 3.659 3.198
3.659 1.220 3.198
```



Record 2
This record from Alexandria describes a geometry-optimized SrIrBr2 structure. The functional is PBE-GGA.

Output
Energy above the most stable polymorph in this dataset in meV per atom: 359
Energy relative to the elements, uncorrected in eV per formula unit: -0.96

POSCAR file:
```
SrIrBr2
1.0
0.000 3.759 4.288
3.466 0.000 4.288
3.466 3.759 0.000
Sr Ir Br
1 1 2
Cartesian
0.000 0.000 0.000
3.466 3.759 4.288
3.466 1.879 2.144
0.000 1.879 2.144
```



Record 3
This record from Alexandria describes a geometry-optimized SrIrBr4 structure. The functional is PBE-GGA.

Output
Energy relative to the elements, uncorrected in eV per formula unit: 2.97

POSCAR file:
```
SrIrBr4
1.0
0.000 4.492 4.492
4.492 0.000 4.492
4.492 4.492 0.000
Sr Ir Br
1 1 4
Cartesian
0.000 0.000 0.000
2.246 2.246 2.246
5.610 3.373 3.373
3.373 5.610 3.373
3.373 3.373 5.610
5.610 5.610 5.610
```



Record 4
This record from Alexandria describes a geometry-optimized SrIrBr structure. The functional is PBE-GGA.

Output
Energy above the most stable polymorph in this dataset in meV per atom: 325
Energy relative to the elements, uncorrected in eV per formula unit: -2.27

POSCAR file:
```
SrIrBr
1.0
8.941 -2.041 0.000
8.941 2.041 0.000
-0.002 0.000 4.612
Sr Ir Br
2 2 2
Cartesian
2.123 0.000 1.150
15.758 0.000 3.462
8.727 0.000 1.153
9.154 0.000 3.459
5.569 0.000 1.155
12.312 0.000 3.458
```